DFT (PBE-GGA) results for a geometry-optimized Tb3Dy2Sn2 structure.

Geometry as CIF:
```
data_Tb3Dy2Sn2
_chemical_formula_sum 'Tb6 Dy4 Sn4'
_cell_length_a 16.666
_cell_length_b 3.497
_cell_length_c 7.910
_cell_angle_alpha 90.00
_cell_angle_beta 115.81
_cell_angle_gamma 90.00
_symmetry_space_group_name_H-M 'C 1 2/m 1'
_symmetry_Int_Tables_number 12
loop_
_symmetry_equiv_pos_as_xyz
'x,y,z'
'-x,-y,-z'
'-x,y,-z'
'x,-y,z'
'x+1/2,y+1/2,z'
'-x+1/2,-y+1/2,-z'
'-x+1/2,y+1/2,-z'
'x+1/2,-y+1/2,z'
loop_
_atom_site_label
_atom_site_type_symbol
_atom_site_fract_x
_atom_site_fract_y
_atom_site_fract_z
Tb1 Tb 0.000 0.000 0.000
Tb2 Tb 0.213 0.000 0.148
Dy1 Dy 0.118 0.000 0.472
Sn1 Sn 0.079 0.500 0.768
```

Summary:
E_form: -0.2674 eV per atom
total energy: -4.710 eV per atom

***

DFT (PBE-GGA) results for a geometry-optimized Pu2ScTc2C4 structure.

Geometry as CIF:
```
data_Pu2ScTc2C4
_chemical_formula_sum 'Pu4 Sc2 Tc4 C8'
_cell_length_a 13.535
_cell_length_b 3.224
_cell_length_c 5.833
_cell_angle_alpha 90.00
_cell_angle_beta 106.06
_cell_angle_gamma 90.00
_symmetry_space_group_name_H-M 'C 1 2/m 1'
_symmetry_Int_Tables_number 12
loop_
_symmetry_equiv_pos_as_xyz
'x,y,z'
'-x,-y,-z'
'-x,y,-z'
'x,-y,z'
'x+1/2,y+1/2,z'
'-x+1/2,-y+1/2,-z'
'-x+1/2,y+1/2,-z'
'x+1/2,-y+1/2,z'
loop_
_atom_site_label
_atom_site_type_symbol
_atom_site_fract_x
_atom_site_fract_y
_atom_site_fract_z
Pu1 Pu 0.125 0.000 0.024
Sc1 Sc 0.000 0.000 0.500
Tc1 Tc 0.176 0.500 0.510
C1 C 0.040 0.500 0.252
C2 C 0.232 0.000 0.738
```

Summary:
E_form: -0.0171 eV per atom
total energy: -10.309 eV per atom

***

DFT (PBE-GGA) results for a geometry-optimized RbVSn2I8 structure.

Geometry as CIF:
```
data_RbVSn2I8
_chemical_formula_sum 'Rb1 V1 Sn2 I8'
_cell_length_a 7.934
_cell_length_b 8.438
_cell_length_c 9.318
_cell_angle_alpha 104.27
_cell_angle_beta 106.49
_cell_angle_gamma 93.52
_symmetry_space_group_name_H-M 'P -1'
_symmetry_Int_Tables_number 2
loop_
_symmetry_equiv_pos_as_xyz
'x,y,z'
'-x,-y,-z'
loop_
_atom_site_label
_atom_site_type_symbol
_atom_site_fract_x
_atom_site_fract_y
_atom_site_fract_z
Rb1 Rb 0.000 0.000 0.000
V1 V 0.000 0.000 0.500
Sn1 Sn 0.475 0.363 0.749
I1 I 0.141 0.273 0.432
I2 I 0.160 0.795 0.316
I3 I 0.267 0.592 0.916
I4 I 0.308 0.045 0.761
```

Summary:
raw formation energy: -0.60 eV/atom
total energy: -3.138 eV per atom

***

DFT (PBE-GGA) results for a geometry-optimized BaLiAl2 structure.

Geometry as CIF:
```
data_BaLiAl2
_chemical_formula_sum 'Ba1 Li1 Al2'
_cell_length_a 3.432
_cell_length_b 3.720
_cell_length_c 7.824
_cell_angle_alpha 90.00
_cell_angle_beta 90.07
_cell_angle_gamma 90.00
_symmetry_space_group_name_H-M 'P 1 2/m 1'
_symmetry_Int_Tables_number 10
loop_
_symmetry_equiv_pos_as_xyz
'x,y,z'
'-x,-y,-z'
'-x,y,-z'
'x,-y,z'
loop_
_atom_site_label
_atom_site_type_symbol
_atom_site_fract_x
_atom_site_fract_y
_atom_site_fract_z
Ba1 Ba 0.000 0.000 0.000
Li1 Li 0.000 0.000 0.500
Al1 Al 0.500 0.500 0.325
```

Summary:
E_form: -0.0357 eV per atom
total energy: -2.866 eV per atom
E above lowest polymorph: 0.142 eV/atom

***

DFT (PBE-GGA) results for a geometry-optimized CaTaSb2 structure.

Geometry as CIF:
```
data_CaTaSb2
_chemical_formula_sum 'Ca1 Ta1 Sb2'
_cell_length_a 3.754
_cell_length_b 3.754
_cell_length_c 7.342
_cell_angle_alpha 90.00
_cell_angle_beta 90.00
_cell_angle_gamma 90.00
_symmetry_space_group_name_H-M 'P 4 m m'
_symmetry_Int_Tables_number 99
loop_
_symmetry_equiv_pos_as_xyz
'x,y,z'
'-y,x,z'
'-x,-y,z'
'y,-x,z'
'-x,y,z'
'y,x,z'
'x,-y,z'
'-y,-x,z'
loop_
_atom_site_label
_atom_site_type_symbol
_atom_site_fract_x
_atom_site_fract_y
_atom_site_fract_z
Ca1 Ca 0.000 0.000 0.000
Ta1 Ta 0.500 0.500 0.669
Sb1 Sb 0.000 0.000 0.559
Sb2 Sb 0.500 0.500 0.264
```

Summary:
raw formation energy: -0.01 eV/atom
total energy: -5.537 eV per atom
E above lowest polymorph: 0.298 eV/atom

***

DFT (PBE-GGA) results for a geometry-optimized NaU2Tl3S6 structure.

Geometry as CIF:
```
data_NaU2Tl3S6
_chemical_formula_sum 'Na2 U4 Tl6 S12'
_cell_length_a 18.998
_cell_length_b 4.041
_cell_length_c 8.857
_cell_angle_alpha 90.00
_cell_angle_beta 109.50
_cell_angle_gamma 90.00
_symmetry_space_group_name_H-M 'C 1 2/m 1'
_symmetry_Int_Tables_number 12
loop_
_symmetry_equiv_pos_as_xyz
'x,y,z'
'-x,-y,-z'
'-x,y,-z'
'x,-y,z'
'x+1/2,y+1/2,z'
'-x+1/2,-y+1/2,-z'
'-x+1/2,y+1/2,-z'
'x+1/2,-y+1/2,z'
loop_
_atom_site_label
_atom_site_type_symbol
_atom_site_fract_x
_atom_site_fract_y
_atom_site_fract_z
Na1 Na 0.000 0.000 0.000
U1 U 0.167 0.500 0.327
Tl1 Tl 0.000 0.000 0.500
Tl2 Tl 0.154 0.500 0.832
S1 S 0.025 0.500 0.246
S2 S 0.170 0.000 0.124
S3 S 0.179 0.000 0.544
```

Summary:
raw formation energy: -1.01 eV/atom
total energy: -5.654 eV per atom